A relaxed structure of Sm3Pd3Pb, computed with PBE.

Output
Fermi-level density of states = 9.4 states/eV per cell
Energy relative to the elements = -0.643 eV per atom

a b c (Å): 8.9635 8.9635 4.9167
angles (deg): 90.00 90.00 120.00
Space group P6_3/m (No. 176)
Unique sites:
Sm 0.0802 0.4033 0.2500 [6 per cell]
Pd 0.0351 0.1995 0.7500 [6 per cell]
Pb 0.3333 0.6667 0.7500 [2 per cell]